## Th4Pd3Pt (PBE)

Data for an optimized crystal structure of Th4Pd3Pt. Values from VASP.

```
&SYSTEM
  ibrav = 0, nat = 8, ntyp = 3
/
ATOMIC_SPECIES
Th 232.04 Th.upf
Pd 106.42 Pd.upf
Pt 195.08 Pt.upf
ATOMIC_POSITIONS angstrom
Th 0.000 0.000 0.000
Th 0.000 2.260 3.069
Th 1.957 0.000 5.606
Th 1.957 2.260 8.700
Pd 0.000 0.000 8.139
Pd 0.000 2.260 6.139
Pd 1.957 2.260 0.542
Pt 1.957 0.000 2.601
CELL_PARAMETERS angstrom
3.915 0.000 0.000
0.000 4.519 0.000
0.000 0.000 11.217
```

Summary:
The value obtained for the energy relative to the elements is -0.863 eV/atom.

## Tb2AlCo2 (PBE)

Data for an optimized crystal structure of Tb2AlCo2. Values from VASP.

```
&SYSTEM
  ibrav = 0, nat = 10, ntyp = 3
/
ATOMIC_SPECIES
Tb 158.93 Tb.upf
Al 26.98 Al.upf
Co 58.93 Co.upf
ATOMIC_POSITIONS angstrom
Tb 1.782 1.914 6.251
Tb 4.915 1.914 4.730
Tb 2.693 -1.914 2.590
Tb 5.826 -1.914 1.070
Al 4.259 0.671 1.830
Al 3.349 -0.671 5.490
Co 2.470 0.789 3.619
Co 6.048 0.789 0.041
Co 1.560 -0.789 7.279
Co 5.138 -0.789 3.701
CELL_PARAMETERS angstrom
4.715 -2.710 0.000
4.715 2.710 0.000
-1.821 0.000 7.320
```

Summary:
The value obtained for the energy relative to the elements is -0.379 eV/atom.

## NaCeP2O8 (PBE)

Data for an optimized crystal structure of NaCeP2O8. Values from VASP.

```
&SYSTEM
  ibrav = 0, nat = 12, ntyp = 4
/
ATOMIC_SPECIES
Na 22.99 Na.upf
Ce 140.12 Ce.upf
P 30.97 P.upf
O 16.00 O.upf
ATOMIC_POSITIONS angstrom
Na 0.000 0.000 0.000
Ce 3.515 0.000 1.544
P 0.000 0.000 3.087
P 0.000 3.515 1.544
O 2.258 3.515 -0.911
O 1.257 0.000 2.176
O 0.000 2.303 0.576
O 3.515 2.258 0.911
O 0.000 4.726 0.576
O 0.000 1.257 3.999
O -1.211 3.515 2.511
O 1.211 3.515 2.511
CELL_PARAMETERS angstrom
-3.515 3.515 3.087
3.515 -3.515 3.087
3.515 3.515 -3.087
```

Summary:
The calculation puts the formation energy from raw total energies at -2390 meV/atom.

## Li8Te2N (PBE)

Data for an optimized crystal structure of Li8Te2N. Values from VASP.

```
&SYSTEM
  ibrav = 0, nat = 11, ntyp = 3
/
ATOMIC_SPECIES
Li 6.94 Li.upf
Te 127.60 Te.upf
N 14.01 N.upf
ATOMIC_POSITIONS angstrom
Li 16.615 0.000 1.091
Li -1.385 0.000 4.090
Li 3.422 0.000 1.169
Li 6.694 0.000 0.745
Li 5.774 0.000 3.484
Li 9.456 0.000 1.697
Li 8.536 0.000 4.436
Li 11.807 0.000 4.012
Te 1.507 0.000 3.402
Te 13.723 0.000 1.778
N 8.494 0.000 0.000
CELL_PARAMETERS angstrom
8.494 -2.105 0.000
8.494 2.105 0.000
-1.758 0.000 5.181
```

Summary:
The calculation puts the formation energy from raw total energies at -609 meV/atom.

## BaSrU4N8 (PBE)

Data for an optimized crystal structure of BaSrU4N8. Values from VASP.

```
&SYSTEM
  ibrav = 0, nat = 14, ntyp = 4
/
ATOMIC_SPECIES
Ba 137.33 Ba.upf
Sr 87.62 Sr.upf
U 238.03 U.upf
N 14.01 N.upf
ATOMIC_POSITIONS angstrom
Ba 0.000 0.000 0.000
Sr 0.000 0.000 6.714
U -1.738 -1.004 15.803
U 0.000 0.000 9.956
U 1.738 -1.004 15.803
U 0.000 2.007 15.803
N -1.871 -1.081 10.599
N 0.000 0.000 4.136
N 0.000 -1.941 8.551
N -1.681 0.970 8.551
N 1.871 -1.081 10.599
N 0.000 2.161 10.599
N 1.681 0.970 8.551
N 0.000 0.000 14.895
CELL_PARAMETERS angstrom
3.509 2.026 6.330
-3.509 2.026 6.330
0.000 -4.052 6.330
```

Summary:
The calculation puts the formation energy from raw total energies at -1169 meV/atom.

Copy entry 5 word for word.
## BaSrU4N8 (PBE)

Data for an optimized crystal structure of BaSrU4N8. Values from VASP.

```
&SYSTEM
  ibrav = 0, nat = 14, ntyp = 4
/
ATOMIC_SPECIES
Ba 137.33 Ba.upf
Sr 87.62 Sr.upf
U 238.03 U.upf
N 14.01 N.upf
ATOMIC_POSITIONS angstrom
Ba 0.000 0.000 0.000
Sr 0.000 0.000 6.714
U -1.738 -1.004 15.803
U 0.000 0.000 9.956
U 1.738 -1.004 15.803
U 0.000 2.007 15.803
N -1.871 -1.081 10.599
N 0.000 0.000 4.136
N 0.000 -1.941 8.551
N -1.681 0.970 8.551
N 1.871 -1.081 10.599
N 0.000 2.161 10.599
N 1.681 0.970 8.551
N 0.000 0.000 14.895
CELL_PARAMETERS angstrom
3.509 2.026 6.330
-3.509 2.026 6.330
0.000 -4.052 6.330
```

Summary:
The calculation puts the formation energy from raw total energies at -1169 meV/atom.

Question: What is the formula in the fifth record?
Answer: BaSrU4N8